Entry 1:
9
Lattice="9.084 -2.180 0.000 9.084 2.180 0.000 -1.287 0.000 8.187" Properties=species:S:1:pos:R:3 comment="Ac6Ru2Rh | Alexandria | PBE | relaxed" e_above_lowest_polymorph_mev_per_atom=0 energy_ev_per_atom=-5.94 vol_a3_per_fu=324.3 total_magnetization_mub_per_cell=0.0 formation_enthalpy_0k_ev_per_atom=-0.319 pbc="T T T"
Ac -0.239 0.000 2.012
Ac 5.455 0.000 3.484
Ac 4.908 0.000 7.422
Ac 11.974 0.000 0.765
Ac 11.427 0.000 4.703
Ac 17.121 0.000 6.174
Ru 2.574 0.000 2.703
Ru 14.307 0.000 5.484
Rh 9.084 0.000 0.000



Entry 2:
16
Lattice="2.938 -6.832 0.000 2.938 6.832 0.000 0.000 0.000 14.563" Properties=species:S:1:pos:R:3 comment="Ac5RuRh2 | Alexandria | PBE | relaxed" energy_ev_per_atom=-5.96 vol_a3_per_fu=292.3 total_magnetization_mub_per_cell=0.0 formation_enthalpy_0k_ev_per_atom=-0.397 pbc="T T T"
Ac 2.938 6.127 9.042
Ac 2.938 6.127 12.803
Ac 2.938 3.268 3.641
Ac 2.938 2.306 8.289
Ac 2.938 2.306 13.556
Ac 2.938 -2.306 1.007
Ac 2.938 -2.306 6.275
Ac 2.938 -3.268 10.922
Ac 2.938 -6.127 1.760
Ac 2.938 -6.127 5.522
Ru 2.938 4.089 10.922
Ru 2.938 -4.089 3.641
Rh 2.938 4.803 0.889
Rh 2.938 4.803 6.393
Rh 2.938 -4.803 8.170
Rh 2.938 -4.803 13.675